Pm2NdTmTe5: optimized geometry, PBE-GGA.

Unit cell a=5.481 b=5.481 c=11.771 alpha=90.00 beta=90.00 gamma=90.00
Each line ends with the local moment (μB).
Fractional coordinates of all 9 atoms:
Nd  0.000  0.000  0.000  0.01
Te  0.000  0.000  0.251  0.00
Te  0.500  0.000  0.500  0.00
Te  0.000  0.500  0.500  0.00
Te  0.500  0.500  0.000  0.01
Te  0.000  0.000  0.749  0.00
Pm  0.500  0.500  0.343  0.13
Pm  0.500  0.500  0.657  0.13
Tm  0.000  0.000  0.500  0.02

Output
total magnetic moment: 0.53 μB/f.u.
total DFT energy (no corrections): -41.882 eV for the cell shown
SG: P4/mmm, No. 123
formation energy without anion corrections: -826 meV/atom